DFT (PBE+U) results for a relaxed structure of PmMn2SiO6.

## Properties
Volume   111.9 Å³ per cell
Spin magnetization   0.700 μB per atom
Space group   R3 (146)
Electronic total energy   -7.6920 eV per atom

Cell: 5.1596 5.1595 5.6954 Å, 63.06 63.07 60.00°
Closest atoms and distances in Å follow each position.
Positions (direct):
Pm1 0.8000 0.8000 0.5999  6 O 2.26-2.51
O1 0.2292 0.9758 0.2183  1 Si 1.83, 1 Mn 2.03
O2 0.7060 0.1540 0.7860  1 Si 1.84, 1 Mn 1.97
O3 0.9758 0.5767 0.2183  1 Si 1.83, 1 Mn 2.03
O4 0.1540 0.3539 0.7860  1 Si 1.84, 1 Mn 1.97
O5 0.5767 0.2292 0.2183  1 Si 1.83, 1 Mn 2.03
O6 0.3539 0.7060 0.7861  1 Si 1.84, 1 Mn 1.97
Si1 0.3266 0.3266 0.0203  6 O 1.83-1.84
Mn1 0.0037 0.0037 0.9889  6 O 1.97-2.03
Mn2 0.5356 0.5356 0.3932  3 O 2.11